A relaxed structure of U2CuSe6. Source: Alexandria, functional GGA-PBE.

Cell: 6.389 7.217 10.782 Å, 90.00 124.53 90.00°
Atoms (fractional coordinates):
U 0.186 0.138 0.241
U 0.186 0.362 0.741
U 0.814 0.638 0.259
U 0.814 0.862 0.759
Cu 0.000 0.000 0.500
Cu 0.000 0.500 0.000
Se 0.114 0.168 0.943
Se 0.114 0.332 0.443
Se 0.278 0.668 0.940
Se 0.278 0.832 0.440
Se 0.420 0.043 0.752
Se 0.420 0.457 0.252
Se 0.580 0.543 0.748
Se 0.580 0.957 0.248
Se 0.722 0.168 0.560
Se 0.722 0.332 0.060
Se 0.886 0.668 0.557
Se 0.886 0.832 0.057

- Magnetic moment: 1.800 μB per formula unit
- Formation energy from raw total energies: -76 kJ per mole of atoms
- Symmetry: P2_1/c, No. 14
- Final energy: -6.069 eV/atom



A relaxed structure of UCuSe4. Source: Alexandria, functional GGA-PBE.

Cell: 6.886 6.426 7.772 Å, 90.00 115.83 90.00°
Atoms (fractional coordinates):
U 0.000 0.000 0.000
U 0.000 0.500 0.500
Cu 0.500 0.000 0.000
Cu 0.500 0.500 0.500
Se 0.187 0.249 0.843
Se 0.187 0.251 0.343
Se 0.334 0.741 0.640
Se 0.334 0.759 0.140
Se 0.666 0.241 0.860
Se 0.666 0.259 0.360
Se 0.813 0.749 0.657
Se 0.813 0.751 0.157

- Magnetic moment: 0.000 μB per formula unit
- Formation energy from raw total energies: -50 kJ per mole of atoms
- Symmetry: P2_1/c, No. 14
- Final energy: -5.407 eV/atom



A relaxed structure of UCu2Se6. Source: Alexandria, functional GGA-PBE.

Cell: 6.631 6.631 8.814 Å, 97.06 97.06 36.71°
Atoms (fractional coordinates):
U 0.000 0.000 0.000
Cu 0.234 0.234 0.681
Cu 0.766 0.766 0.319
Se 0.046 0.046 0.713
Se 0.321 0.321 0.448
Se 0.362 0.362 0.916
Se 0.638 0.638 0.084
Se 0.679 0.679 0.552
Se 0.954 0.954 0.287

- Magnetic moment: 0.275 μB per formula unit
- Formation energy from raw total energies: -31 kJ per mole of atoms
- Symmetry: C2/m, No. 12
- Final energy: -4.806 eV/atom



A relaxed structure of U6Cu3Se14. Source: Alexandria, functional GGA-PBE.

Cell: 10.059 10.059 5.933 Å, 90.00 90.00 120.00°
Atoms (fractional coordinates):
U 0.044 0.556 0.000
U 0.293 0.112 0.506
U 0.444 0.488 0.000
U 0.512 0.956 0.000
U 0.819 0.707 0.506
U 0.888 0.181 0.506
Cu 0.000 0.000 0.871
Cu 0.333 0.667 0.369
Cu 0.667 0.333 0.048
Se 0.000 0.000 0.278
Se 0.106 0.846 0.751
Se 0.154 0.260 0.751
Se 0.180 0.408 0.251
Se 0.228 0.820 0.251
Se 0.333 0.667 0.774
Se 0.401 0.181 0.022
Se 0.523 0.439 0.527
Se 0.561 0.084 0.527
Se 0.592 0.772 0.251
Se 0.740 0.894 0.751
Se 0.780 0.599 0.022
Se 0.819 0.220 0.022
Se 0.916 0.477 0.527

- Magnetic moment: 10.999 μB per formula unit
- Formation energy from raw total energies: -91 kJ per mole of atoms
- Symmetry: P3, No. 143
- Final energy: -6.539 eV/atom



A relaxed structure of U3Cu2Se7. Source: Alexandria, functional GGA-PBE.

Cell: 10.129 10.129 5.985 Å, 90.00 90.00 120.00°
Atoms (fractional coordinates):
U 0.154 0.379 0.000
U 0.224 0.846 0.000
U 0.379 0.224 0.500
U 0.621 0.776 0.000
U 0.776 0.154 0.500
U 0.846 0.621 0.500
Cu 0.000 0.000 0.467
Cu 0.000 0.000 0.967
Cu 0.333 0.667 0.633
Cu 0.667 0.333 0.133
Se 0.075 0.562 0.753
Se 0.112 0.265 0.484
Se 0.153 0.888 0.484
Se 0.265 0.153 0.984
Se 0.333 0.667 0.228
Se 0.438 0.513 0.753
Se 0.487 0.925 0.753
Se 0.513 0.075 0.253
Se 0.562 0.487 0.253
Se 0.667 0.333 0.728
Se 0.735 0.847 0.484
Se 0.847 0.112 0.984
Se 0.888 0.735 0.984
Se 0.925 0.438 0.253

- Magnetic moment: 5.998 μB per formula unit
- Formation energy from raw total energies: -88 kJ per mole of atoms
- Symmetry: P6_3, No. 173
- Final energy: -6.445 eV/atom



A relaxed structure of VCu2Se4. Source: Alexandria, functional GGA-PBE.

Cell: 7.534 7.534 7.534 Å, 125.49 121.41 84.16°
Atoms (fractional coordinates):
V 0.500 0.000 0.000
V 0.500 0.500 0.500
Cu 0.000 0.000 0.000
Cu 0.140 0.390 0.750
Cu 0.500 0.000 0.500
Cu 0.860 0.610 0.250
Se 0.249 0.739 0.511
Se 0.271 0.248 0.477
Se 0.271 0.794 0.023
Se 0.272 0.261 0.011
Se 0.728 0.739 0.989
Se 0.729 0.206 0.977
Se 0.729 0.752 0.523
Se 0.751 0.261 0.489

- Magnetic moment: 0.827 μB per formula unit
- Energy relative to the lowest polymorph listed for this composition: 0.078 eV/atom
- Formation energy from raw total energies: -32 kJ per mole of atoms
- Symmetry: Imma, No. 74
- Final energy: -4.800 eV/atom



A relaxed structure of VCuSe. Source: Alexandria, functional GGA-PBE.

Cell: 3.271 3.271 9.514 Å, 90.00 90.00 90.00°
Atoms (fractional coordinates):
V 0.250 0.250 0.218
V 0.750 0.750 0.782
Cu 0.250 0.250 0.945
Cu 0.750 0.750 0.055
Se 0.250 0.250 0.671
Se 0.750 0.750 0.329

- Magnetic moment: 2.075 μB per formula unit
- Energy relative to the lowest polymorph listed for this composition: 0.000 eV/atom
- Formation energy from raw total energies: -21 kJ per mole of atoms
- Symmetry: P4/nmm, No. 129
- Final energy: -5.787 eV/atom



A relaxed structure of VCu3Se4. Source: Alexandria, functional GGA-PBE.

Cell: 7.772 6.748 6.522 Å, 90.00 90.00 90.00°
Atoms (fractional coordinates):
V 0.000 0.171 0.000
V 0.500 0.829 0.500
Cu 0.000 0.842 0.493
Cu 0.249 0.670 0.989
Cu 0.251 0.330 0.489
Cu 0.500 0.158 0.993
Cu 0.749 0.330 0.489
Cu 0.751 0.670 0.989
Se 0.000 0.172 0.643
Se 0.000 0.846 0.122
Se 0.247 0.333 0.119
Se 0.253 0.667 0.619
Se 0.500 0.154 0.622
Se 0.500 0.828 0.143
Se 0.747 0.667 0.619
Se 0.753 0.333 0.119

- Magnetic moment: 0.014 μB per formula unit
- Energy relative to the lowest polymorph listed for this composition: 0.154 eV/atom
- Formation energy from raw total energies: -33 kJ per mole of atoms
- Symmetry: Pmn2_1, No. 31
- Final energy: -4.757 eV/atom